No. 1
# PBE Al2Sb2Cl, relaxed
data_Al2Sb2Cl
_cell_length_a 8.290
_cell_length_b 8.290
_cell_length_c 3.322
_cell_angle_alpha 90.00
_cell_angle_beta 90.00
_cell_angle_gamma 90.00
_space_group_name_H-M_alt 'P 4/m b m'
_space_group_IT_number 127
_space_group_name_Hall '-P 4 2ab'
loop_
_atom_site_label
_atom_site_fract_x
_atom_site_fract_y
_atom_site_fract_z
Al1 0.152 0.348 0.000
Sb1 0.146 0.646 0.500
Cl1 0.000 0.000 0.000
# Formation energy without anion corrections, eV per atom: 0.00
# E above lowest polymorph, eV per atom: 0.0602
# Density of states at the Fermi level, states/eV per cell: 3.79
# E_tot, eV for the cell shown: -35.18

No. 2
# PBE AlSb2Cl, relaxed
data_AlSb2Cl
_cell_length_a 7.280
_cell_length_b 7.280
_cell_length_c 7.280
_cell_angle_alpha 90.00
_cell_angle_beta 90.00
_cell_angle_gamma 90.00
_space_group_name_H-M_alt 'F -4 3 m'
_space_group_IT_number 216
_space_group_name_Hall 'F -4 2 3'
loop_
_atom_site_label
_atom_site_fract_x
_atom_site_fract_y
_atom_site_fract_z
Al1 0.000 0.000 0.000
Sb1 0.000 0.000 0.500
Sb2 0.250 0.250 0.750
Cl1 0.250 0.250 0.250
# Formation energy without anion corrections, eV per atom: 0.02
# E above lowest polymorph, eV per atom: 0.3717
# Density of states at the Fermi level, states/eV per cell: 6.61
# E_tot, eV for the cell shown: -54.99

Look up the density of states at the Fermi level of the second one. 6.61 states/eV per cell

Among the records above, which one has the highest E_tot? Al2Sb2Cl